# LaSmIr4

LaSmIr4 after structural relaxation (PBE-GGA, Alexandria).

Properties
V, Å³ per cell: 455.88
Energy, eV/atom: -8.24
Energy relative to the elements, eV per atom: -0.723
Crystal system: cubic

a b c (Å): 7.696 7.696 7.696
angles (deg): 90.00 90.00 90.00
Space group F-43m (No. 216)
Unique sites:
La (0.000, 0.000, 0.000) (multiplicity 4)
Sm (0.250, 0.250, 0.750) (multiplicity 4)
Ir (0.125, 0.125, 0.375) (multiplicity 16)